Version A
Density functional theory data (PBE) for crystalline YSc2Al6 at its relaxed geometry.

Computed properties:
- Total magnetization: 0.0000 μB/atom

a = 7.796 Å, b = 7.796 Å, c = 3.301 Å
α = 90.00°, β = 90.00°, γ = 120.00°
Element x y z (fractional)
Y: 0.000 0.000 0.000
Sc: 0.333 0.667 0.000
Sc: 0.667 0.333 0.000
Al: 0.000 0.336 0.500
Al: 0.000 0.664 0.500
Al: 0.336 0.000 0.500
Al: 0.336 0.336 0.500
Al: 0.664 0.000 0.500
Al: 0.664 0.664 0.500



Version B
Density functional theory data (PBE) for crystalline YSc2Al6 at its relaxed geometry.

Computed properties:
- Total magnetization: 0.0000 μB/atom

a = 7.710 Å, b = 7.710 Å, c = 7.710 Å
α = 147.97°, β = 126.62°, γ = 63.62°
Element x y z (fractional)
Y: 0.000 0.000 0.000
Sc: 0.380 0.880 0.500
Sc: 0.620 0.120 0.500
Al: 0.009 0.311 0.698
Al: 0.315 0.500 0.815
Al: 0.388 0.689 0.698
Al: 0.612 0.311 0.302
Al: 0.685 0.500 0.185
Al: 0.991 0.689 0.302



Last place for stability: version B



Version A
Density functional theory data (PBE) for crystalline YScAl at its relaxed geometry.

Computed properties:
- Total magnetization: 0.0001 μB/atom

a = 4.915 Å, b = 4.915 Å, c = 3.498 Å
α = 90.00°, β = 90.00°, γ = 120.00°
Element x y z (fractional)
Y: 0.000 0.000 0.000
Sc: 0.333 0.667 0.545
Al: 0.667 0.333 0.403



Version B
Density functional theory data (PBE) for crystalline YScAl at its relaxed geometry.

Computed properties:
- Total magnetization: 0.0003 μB/atom

a = 4.951 Å, b = 4.951 Å, c = 4.951 Å
α = 60.00°, β = 60.00°, γ = 60.00°
Element x y z (fractional)
Y: 0.000 0.000 0.000
Sc: 0.750 0.750 0.750
Al: 0.250 0.250 0.250



Last place for stability: version B



Version A
Density functional theory data (PBE) for crystalline YScAl at its relaxed geometry.

Computed properties:
- Total magnetization: 0.0003 μB/atom

a = 4.912 Å, b = 4.912 Å, c = 4.912 Å
α = 60.00°, β = 60.00°, γ = 60.00°
Element x y z (fractional)
Y: 0.000 0.000 0.000
Sc: 0.500 0.500 0.500
Al: 0.250 0.250 0.250



Version B
Density functional theory data (PBE) for crystalline YScAl at its relaxed geometry.

Computed properties:
- Total magnetization: 0.0000 μB/atom

a = 6.915 Å, b = 6.915 Å, c = 6.915 Å
α = 152.17°, β = 152.17°, γ = 39.77°
Element x y z (fractional)
Y: 0.000 0.000 0.000
Sc: 0.302 0.302 0.000
Al: 0.661 0.661 0.000



Version C
Density functional theory data (PBE) for crystalline YScAl at its relaxed geometry.

Computed properties:
- Total magnetization: 0.0000 μB/atom

a = 3.588 Å, b = 5.096 Å, c = 8.067 Å
α = 90.00°, β = 102.85°, γ = 90.00°
Element x y z (fractional)
Y: 0.078 0.250 0.158
Y: 0.922 0.750 0.842
Sc: 0.232 0.750 0.464
Sc: 0.768 0.250 0.536
Al: 0.413 0.250 0.826
Al: 0.587 0.750 0.174



Last place for stability: version A



Version A
Density functional theory data (PBE) for crystalline YScAl at its relaxed geometry.

Computed properties:
- Total magnetization: 0.3711 μB/atom

a = 7.851 Å, b = 7.851 Å, c = 4.243 Å
α = 90.00°, β = 90.00°, γ = 120.00°
Element x y z (fractional)
Y: 0.000 0.407 0.000
Y: 0.407 0.000 0.000
Y: 0.593 0.593 0.000
Sc: 0.000 0.748 0.500
Sc: 0.252 0.252 0.500
Sc: 0.748 0.000 0.500
Al: 0.000 0.000 0.000
Al: 0.333 0.667 0.500
Al: 0.667 0.333 0.500



Version B
Density functional theory data (PBE) for crystalline YScAl at its relaxed geometry.

Computed properties:
- Total magnetization: 0.0000 μB/atom

a = 8.516 Å, b = 8.516 Å, c = 8.516 Å
α = 33.51°, β = 33.51°, γ = 33.51°
Element x y z (fractional)
Y: 0.121 0.121 0.121
Y: 0.879 0.879 0.879
Sc: 0.371 0.371 0.371
Sc: 0.629 0.629 0.629
Al: 0.254 0.254 0.254
Al: 0.746 0.746 0.746



Last place for stability: version B